GGA-PBE Sr2MoSe, optimized geometry; symmetry = Cm (8); ΔE_f (raw) = -0.2 eV/f.u.
1.0
6.036 -1.800 0.000
6.036 1.800 0.000
-1.804 0.000 5.126
Sr Mo Se
2 1 1
direct
0.000 0.000 0.000 Sr
0.201 0.201 0.643 Sr
0.414 0.414 0.419 Mo
0.763 0.763 0.173 Se